A plane-wave DFT calculation with PBE was carried out for a relaxed ZnSnSb2I crystal.

## Properties
formation energy without anion corrections	662	meV per atom
SG	No. 123
offset from the most stable computed form	257.0	meV per atom
density	4.6	g/cm³

a b c (Å): 5.768 5.768 6.076
angles (deg): 90.00 90.00 90.00
Each line ends with the local moment (μB).
Fractional coordinates of all 5 atoms:
I1 0.000 0.000 0.500  0.09
Sb1 0.000 0.500 0.000  0.26
Sb2 0.500 0.000 0.000  0.26
Zn1 0.500 0.500 0.500  0.01
Sn1 0.000 0.000 0.000  -0.01